[1]
# K3HfCu

A relaxed K3HfCu crystal (PBE, the Alexandria database).

Cell lengths 6.189, 6.189, 6.189 Å; angles 90.00, 90.00, 90.00 degrees
Element x y z (fractional)
K1 0.000 0.500 0.000
K2 0.000 0.000 0.500
K3 0.500 0.000 0.000
Hf1 0.500 0.500 0.500
Cu1 0.000 0.000 0.000

Calculated values
V	237.1	Å³ per cell
density of states at the Fermi level	6.884	states/eV per atom
formation energy	1.20	eV per atom
magnetization	4.0	μB per cell

[2]
# K3HfCu

A relaxed K3HfCu crystal (PBE, the Alexandria database).

Cell lengths 6.718, 6.718, 6.718 Å; angles 90.00, 90.00, 90.00 degrees
Element x y z (fractional)
K1 0.000 0.500 0.000
K2 0.000 0.000 0.500
K3 0.500 0.000 0.000
Hf1 0.000 0.000 0.000
Cu1 0.500 0.500 0.500

Calculated values
V	303.2	Å³ per cell
density of states at the Fermi level	1.617	states/eV per atom
formation energy	1.51	eV per atom
magnetization	4.0	μB per cell

[3]
# KHf2CuN

A relaxed KHf2CuN crystal (PBE, the Alexandria database).

Cell lengths 4.988, 4.325, 4.988 Å; angles 90.00, 90.00, 90.00 degrees
Element x y z (fractional)
K1 0.000 0.000 0.000
Hf1 0.000 0.000 0.500
Hf2 0.500 0.000 0.000
Cu1 0.000 0.500 0.000
N1 0.500 0.500 0.500

Calculated values
V	107.6	Å³ per cell
density of states at the Fermi level	1.171	states/eV per atom
magnetization	0.0	μB per cell
formation energy (no corrections)	3125	meV/atom

[4]
# K2HfCuO4

A relaxed K2HfCuO4 crystal (PBE, the Alexandria database).

Cell lengths 5.603, 5.603, 5.603 Å; angles 99.79, 114.52, 114.52 degrees
Element x y z (fractional)
K1 0.500 0.750 0.250
K2 0.000 0.000 0.000
Hf1 0.500 0.250 0.750
Cu1 0.000 0.500 0.500
O1 0.588 0.321 0.455
O2 0.134 0.267 0.679
O3 0.866 0.545 0.133
O4 0.412 0.867 0.733

Calculated values
V	132.6	Å³ per cell
density of states at the Fermi level	0.086	states/eV per atom
magnetization	1.0	μB per cell
formation energy (no corrections)	-1945	meV/atom

[5]
# KHfCuRe2

A relaxed KHfCuRe2 crystal (PBE, the Alexandria database).

Cell lengths 4.699, 4.850, 4.699 Å; angles 90.00, 90.00, 90.00 degrees
Element x y z (fractional)
Re1 0.000 0.000 0.500
Re2 0.500 0.000 0.000
K1 0.500 0.500 0.500
Hf1 0.000 0.500 0.000
Cu1 0.000 0.000 0.000

Calculated values
V	107.1	Å³ per cell
density of states at the Fermi level	1.602	states/eV per atom
formation energy	1.81	eV per atom
magnetization	0.0	μB per cell

[6]
# KHf2Cu2S6

A relaxed KHf2Cu2S6 crystal (PBE, the Alexandria database).

Cell lengths 6.824, 7.380, 7.336 Å; angles 122.84, 87.00, 65.03 degrees
Element x y z (fractional)
K1 0.500 0.000 0.500
Hf1 0.824 0.338 0.845
Hf2 0.176 0.662 0.155
Cu1 0.231 0.722 0.785
Cu2 0.769 0.278 0.215
S1 0.442 0.751 0.008
S2 0.961 0.446 0.177
S3 0.149 0.858 0.582
S4 0.039 0.554 0.823
S5 0.851 0.142 0.418
S6 0.558 0.249 0.992

Calculated values
V	261.5	Å³ per cell
density of states at the Fermi level	0.413	states/eV per atom
magnetization	0.0	μB per cell
formation energy (no corrections)	-1032	meV/atom

[7]
# K2HfCuS4

A relaxed K2HfCuS4 crystal (PBE, the Alexandria database).

Cell lengths 8.205, 8.205, 7.638 Å; angles 117.74, 117.74, 95.71 degrees
Element x y z (fractional)
K1 0.500 0.000 0.000
K2 0.500 0.000 0.500
K3 0.000 0.000 0.500
K4 0.500 0.500 0.000
Hf1 0.000 0.500 0.000
Hf2 0.000 0.500 0.500
Cu1 0.500 0.500 0.500
Cu2 0.000 0.000 0.000
S1 0.219 0.703 0.961
S2 0.797 0.281 0.539
S3 0.203 0.719 0.461
S4 0.781 0.297 0.039
S5 0.783 0.717 0.943
S6 0.783 0.717 0.557
S7 0.217 0.283 0.443
S8 0.217 0.283 0.057

Calculated values
V	368.6	Å³ per cell
density of states at the Fermi level	0.383	states/eV per atom
magnetization	1.5	μB per cell
formation energy (no corrections)	-1004	meV/atom

[8]
# K3Hf3CuS8

A relaxed K3Hf3CuS8 crystal (PBE, the Alexandria database).

Cell lengths 7.476, 7.473, 8.589 Å; angles 115.76, 90.01, 120.00 degrees
Element x y z (fractional)
K1 0.000 0.000 0.000
K2 0.000 0.500 0.000
K3 0.500 0.500 0.000
Hf1 0.500 0.000 0.500
Hf2 0.500 0.500 0.500
Hf3 0.000 0.500 0.500
Cu1 0.000 0.000 0.500
S1 0.268 0.536 0.303
S2 0.732 0.464 0.697
S3 0.767 0.535 0.313
S4 0.233 0.465 0.687
S5 0.767 0.047 0.313
S6 0.233 0.953 0.687
S7 0.280 0.046 0.313
S8 0.720 0.954 0.687

Calculated values
V	359.4	Å³ per cell
density of states at the Fermi level	0.343	states/eV per atom
magnetization	0.0	μB per cell
formation energy (no corrections)	-1329	meV/atom

> Number 8 is which compound?

K3Hf3CuS8

> Look up the density of states at the Fermi level of the seventh one.

0.383 states/eV per atom